# Tl2InAg (PBE, relaxed)
# - ΔE_f (eV/f.u.) = 0.37
# - total moment (μB/cell) = 0.00
# - polymorph energy (0 for the lowest one) (eV per atom) = 0.049
data_Tl2InAg
_chemical_formula_sum 'Tl2 In1 Ag1'
_symmetry_space_group_name_H-M 'P 4/m m m'
_symmetry_Int_Tables_number 123
_symmetry_space_group_name_Hall '-P 4 2'
_cell_length_a 3.402
_cell_length_b 3.402
_cell_length_c 9.114
_cell_angle_alpha 90.00
_cell_angle_beta 90.00
_cell_angle_gamma 90.00
loop_
_atom_site_label
_atom_site_fract_x
_atom_site_fract_y
_atom_site_fract_z
_atom_site_occupancy
Tl1 0.000 0.000 0.221 1
In1 0.500 0.500 0.500 1
Ag1 0.500 0.500 0.000 1